This record from the Alexandria database describes a relaxed Ce2NpCl8 crystal. The functional is GGA-PBE.

Structure (CIF):
```
data_Ce2NpCl8
_symmetry_space_group_name_H-M 'C 1 2/m 1'
_symmetry_Int_Tables_number 12
_symmetry_space_group_name_Hall '-C 2y'
_cell_length_a 15.8245
_cell_length_b 4.9073
_cell_length_c 8.7132
_cell_angle_alpha 90.00
_cell_angle_beta 100.58
_cell_angle_gamma 90.00
loop_
_atom_site_label
_atom_site_fract_x
_atom_site_fract_y
_atom_site_fract_z
Ce1 0.2409 0.0000 0.2352
Np1 0.0000 0.0000 0.5000
Cl1 0.0651 0.0000 0.2220
Cl2 0.0734 0.5000 0.6569
Cl3 0.1884 0.5000 0.0523
Cl4 0.2006 0.0000 0.5781
```

- Crystal system: monoclinic
- Final energy: -5.559 eV per atom



This record from the Alexandria database describes a relaxed CeNpCl6 crystal. The functional is GGA-PBE.

Structure (CIF):
```
data_CeNpCl6
_symmetry_space_group_name_H-M 'P -1'
_symmetry_Int_Tables_number 2
_symmetry_space_group_name_Hall '-P 1'
_cell_length_a 4.9035
_cell_length_b 7.4071
_cell_length_c 7.4375
_cell_angle_alpha 96.82
_cell_angle_beta 109.24
_cell_angle_gamma 109.30
loop_
_atom_site_label
_atom_site_fract_x
_atom_site_fract_y
_atom_site_fract_z
Ce1 0.0000 0.0000 0.0000
Np1 0.0000 0.5000 0.5000
Cl1 0.0014 0.2508 0.7495
Cl2 0.3290 0.7664 0.8931
Cl3 0.3369 0.2705 0.4017
```

- Crystal system: triclinic
- Final energy: -5.658 eV per atom



This record from the Alexandria database describes a relaxed Ce4Cl5O4 crystal. The functional is GGA-PBE.

Structure (CIF):
```
data_Ce4Cl5O4
_symmetry_space_group_name_H-M 'I 4/m'
_symmetry_Int_Tables_number 87
_symmetry_space_group_name_Hall '-I 4'
_cell_length_a 11.2015
_cell_length_b 11.2015
_cell_length_c 4.0267
_cell_angle_alpha 90.00
_cell_angle_beta 90.00
_cell_angle_gamma 90.00
loop_
_atom_site_label
_atom_site_fract_x
_atom_site_fract_y
_atom_site_fract_z
Ce1 0.0420 0.2972 0.0000
Cl1 0.0000 0.0000 0.0000
Cl2 0.1343 0.7973 0.5000
O1 0.0771 0.3829 0.5000
```

- Crystal system: tetragonal
- Final energy: -6.859 eV per atom



This record from the Alexandria database describes a relaxed Ce6ClO8 crystal. The functional is GGA-PBE.

Structure (CIF):
```
data_Ce6ClO8
_symmetry_space_group_name_H-M 'R -3'
_symmetry_Int_Tables_number 148
_symmetry_space_group_name_Hall '-R 3'
_cell_length_a 6.7610
_cell_length_b 6.7610
_cell_length_c 18.8111
_cell_angle_alpha 90.00
_cell_angle_beta 90.00
_cell_angle_gamma 120.00
loop_
_atom_site_label
_atom_site_fract_x
_atom_site_fract_y
_atom_site_fract_z
Ce1 0.0035 0.6433 0.4130
Cl1 0.0000 0.0000 0.5000
O1 0.0000 0.0000 0.1675
O2 0.0065 0.6867 0.6197
```

- Crystal system: trigonal
- Final energy: -8.266 eV per atom



This record from the Alexandria database describes a relaxed Ce2Cl3O crystal. The functional is GGA-PBE.

Structure (CIF):
```
data_Ce2Cl3O
_symmetry_space_group_name_H-M 'C 1 2/m 1'
_symmetry_Int_Tables_number 12
_symmetry_space_group_name_Hall '-C 2y'
_cell_length_a 15.9718
_cell_length_b 4.0939
_cell_length_c 10.6697
_cell_angle_alpha 90.00
_cell_angle_beta 118.58
_cell_angle_gamma 90.00
loop_
_atom_site_label
_atom_site_fract_x
_atom_site_fract_y
_atom_site_fract_z
Ce1 0.0887 0.0000 0.4509
Ce2 0.1340 0.5000 0.7879
Cl1 0.0511 0.5000 0.2390
Cl2 0.1625 0.0000 0.0084
Cl3 0.2305 0.5000 0.6163
O1 0.0824 0.0000 0.6670
```

- Crystal system: monoclinic
- Final energy: -6.219 eV per atom



This record from the Alexandria database describes a relaxed Ce2ClO crystal. The functional is GGA-PBE.

Structure (CIF):
```
data_Ce2ClO
_symmetry_space_group_name_H-M 'R 3 m'
_symmetry_Int_Tables_number 160
_symmetry_space_group_name_Hall 'R 3 -2"'
_cell_length_a 3.3958
_cell_length_b 3.3958
_cell_length_c 23.1962
_cell_angle_alpha 90.00
_cell_angle_beta 90.00
_cell_angle_gamma 120.00
loop_
_atom_site_label
_atom_site_fract_x
_atom_site_fract_y
_atom_site_fract_z
Ce1 0.0000 0.0000 0.0000
Ce2 0.0000 0.0000 0.1407
Cl1 0.0000 0.0000 0.5691
O1 0.0000 0.0000 0.7373
```

- Crystal system: trigonal
- Final energy: -6.546 eV per atom



This record from the Alexandria database describes a relaxed Ce2ClO crystal. The functional is GGA-PBE.

Structure (CIF):
```
data_Ce2ClO
_symmetry_space_group_name_H-M 'R -3 m'
_symmetry_Int_Tables_number 166
_symmetry_space_group_name_Hall '-R 3 2"'
_cell_length_a 3.5818
_cell_length_b 3.5818
_cell_length_c 20.7710
_cell_angle_alpha 90.00
_cell_angle_beta 90.00
_cell_angle_gamma 120.00
loop_
_atom_site_label
_atom_site_fract_x
_atom_site_fract_y
_atom_site_fract_z
Ce1 0.0000 0.0000 0.2335
Cl1 0.0000 0.0000 0.0000
O1 0.0000 0.0000 0.5000
```

- Crystal system: trigonal
- Final energy: -6.766 eV per atom



This record from the Alexandria database describes a relaxed Ce3ClO5 crystal. The functional is GGA-PBE.

Structure (CIF):
```
data_Ce3ClO5
_symmetry_space_group_name_H-M 'C m c m'
_symmetry_Int_Tables_number 63
_symmetry_space_group_name_Hall '-C 2c 2'
_cell_length_a 3.7628
_cell_length_b 12.6962
_cell_length_c 11.6350
_cell_angle_alpha 90.00
_cell_angle_beta 90.00
_cell_angle_gamma 90.00
loop_
_atom_site_label
_atom_site_fract_x
_atom_site_fract_y
_atom_site_fract_z
Ce1 0.0000 0.0887 0.2500
Ce2 0.0000 0.3754 0.0260
Cl1 0.0000 0.1477 0.7500
O1 0.0000 0.0000 0.0000
O2 0.0000 0.2027 0.0744
O3 0.0000 0.4500 0.6455
```

- Crystal system: orthorhombic
- Final energy: -8.065 eV per atom



This record from the Alexandria database describes a relaxed Ce2ClO2 crystal. The functional is GGA-PBE.

Structure (CIF):
```
data_Ce2ClO2
_symmetry_space_group_name_H-M 'P -3 m 1'
_symmetry_Int_Tables_number 164
_symmetry_space_group_name_Hall '-P 3 2"'
_cell_length_a 3.9806
_cell_length_b 3.9806
_cell_length_c 7.2415
_cell_angle_alpha 90.00
_cell_angle_beta 90.00
_cell_angle_gamma 120.00
loop_
_atom_site_label
_atom_site_fract_x
_atom_site_fract_y
_atom_site_fract_z
Ce1 0.3333 0.6667 0.3033
Cl1 0.0000 0.0000 0.0000
O1 0.3333 0.6667 0.6351
```

- Crystal system: trigonal
- Final energy: -7.613 eV per atom



This record from the Alexandria database describes a relaxed Ce2ClO crystal. The functional is GGA-PBE.

Structure (CIF):
```
data_Ce2ClO
_symmetry_space_group_name_H-M 'P 4/m m m'
_symmetry_Int_Tables_number 123
_symmetry_space_group_name_Hall '-P 4 2'
_cell_length_a 3.2532
_cell_length_b 3.2532
_cell_length_c 7.0231
_cell_angle_alpha 90.00
_cell_angle_beta 90.00
_cell_angle_gamma 90.00
loop_
_atom_site_label
_atom_site_fract_x
_atom_site_fract_y
_atom_site_fract_z
Ce1 0.0000 0.0000 0.2135
Cl1 0.5000 0.5000 0.5000
O1 0.5000 0.5000 0.0000
```

- Crystal system: tetragonal
- Final energy: -6.189 eV per atom



This record from the Alexandria database describes a relaxed Ce2PrClO4 crystal. The functional is GGA-PBE.

Structure (CIF):
```
data_Ce2PrClO4
_symmetry_space_group_name_H-M 'P 4/m m m'
_symmetry_Int_Tables_number 123
_symmetry_space_group_name_Hall '-P 4 2'
_cell_length_a 4.0395
_cell_length_b 4.0395
_cell_length_c 9.0692
_cell_angle_alpha 90.00
_cell_angle_beta 90.00
_cell_angle_gamma 90.00
loop_
_atom_site_label
_atom_site_fract_x
_atom_site_fract_y
_atom_site_fract_z
Ce1 0.0000 0.0000 0.2248
Pr1 0.5000 0.5000 0.5000
Cl1 0.5000 0.5000 0.0000
O1 0.0000 0.5000 0.3361
```

- Crystal system: tetragonal
- Final energy: -7.931 eV per atom



This record from the Alexandria database describes a relaxed CePu2ClO4 crystal. The functional is GGA-PBE.

Structure (CIF):
```
data_CePu2ClO4
_symmetry_space_group_name_H-M 'P 4/m m m'
_symmetry_Int_Tables_number 123
_symmetry_space_group_name_Hall '-P 4 2'
_cell_length_a 3.9596
_cell_length_b 3.9596
_cell_length_c 8.9196
_cell_angle_alpha 90.00
_cell_angle_beta 90.00
_cell_angle_gamma 90.00
loop_
_atom_site_label
_atom_site_fract_x
_atom_site_fract_y
_atom_site_fract_z
Ce1 0.0000 0.0000 0.0000
Pu1 0.5000 0.5000 0.2785
Cl1 0.0000 0.0000 0.5000
O1 0.0000 0.5000 0.1600
```

- Crystal system: tetragonal
- Final energy: -9.968 eV per atom



- The highest final energy belongs to which entry?
  Ce2NpCl8



- Which of these has the lowest final energy?
  CePu2ClO4